A geometry-optimized Ba3PtS2 structure. Source: Alexandria via LeMat-Bulk, functional PBE-GGA.

Results
- Space group: Immm, No. 71
- Formation energy (no corrections): -1587 meV per atom
- Crystal system: orthorhombic

Cell: 7.942 7.942 7.942 Å, 146.71 132.05 59.62°
Positions (direct):
Ba (0.000, 0.000, 0.000)
Ba (0.331, 0.331, 0.000)
Ba (0.669, 0.669, 0.000)
Pt (0.500, 0.000, 0.500)
S (0.167, 0.667, 0.500)
S (0.833, 0.333, 0.500)

***

A geometry-optimized ThTaNb4 structure. Source: Alexandria via LeMat-Bulk, functional PBE-GGA.

Results
- E_form: 0.17 eV/atom
- Space group: F-43m, No. 216
- Crystal system: cubic

Cell: 5.607 5.607 5.607 Å, 60.00 60.00 60.00°
Positions (direct):
Th (0.000, 0.000, 0.000)
Ta (0.750, 0.750, 0.750)
Nb (0.375, 0.375, 0.375)
Nb (0.375, 0.375, 0.875)
Nb (0.375, 0.875, 0.375)
Nb (0.875, 0.375, 0.375)

***

A geometry-optimized Ac2AsP structure. Source: Alexandria via LeMat-Bulk, functional PBE-GGA.

Results
- E_form: -1.11 eV/atom
- Space group: Fm-3m, No. 225
- Crystal system: cubic

Cell: 5.406 5.406 5.406 Å, 60.00 60.00 60.00°
Positions (direct):
Ac (0.250, 0.250, 0.250)
Ac (0.750, 0.750, 0.750)
As (0.000, 0.000, 0.000)
P (0.500, 0.500, 0.500)

***

M_tot list, top to bottom, in μB per cell: 0.00, 0.00, 0.00